# 1
80
Lattice="-8.244 8.244 8.244 8.244 -8.244 8.244 8.244 8.244 -8.244" Properties=species:S:1:pos:R:3 comment="Na3Li5Br12 PBE relaxed" space_group="Ia-3d, No. 230" e_tot_ev_per_atom=-2.719 pbc="T T T"
Na 4.122 2.061 0.000
Na 8.244 4.122 -2.061
Na 2.061 0.000 4.122
Na 10.305 0.000 4.122
Na 0.000 4.122 2.061
Na 4.122 -2.061 8.244
Na 4.122 10.305 0.000
Na 8.244 4.122 6.183
Na -2.061 8.244 4.122
Na 6.183 8.244 4.122
Na 0.000 4.122 10.305
Na 4.122 6.183 8.244
Li 0.000 0.000 0.000
Li 4.122 4.122 -4.122
Li 4.122 -4.122 4.122
Li 8.244 0.000 0.000
Li 12.365 2.061 0.000
Li 8.244 -4.122 6.183
Li 6.183 8.244 -4.122
Li 6.183 0.000 4.122
Li 4.122 6.183 0.000
Li 8.244 4.122 2.061
Li -4.122 4.122 4.122
Li 0.000 8.244 0.000
Li 0.000 0.000 8.244
Li 4.122 4.122 4.122
Li 0.000 4.122 6.183
Li 4.122 2.061 8.244
Li 2.061 8.244 4.122
Li 2.061 0.000 12.365
Li 0.000 12.365 2.061
Li -4.122 6.183 8.244
Br 2.377 -0.656 1.196
Br 9.988 5.318 -4.778
Br 7.587 -1.196 2.377
Br 13.022 -1.744 2.926
Br 1.196 2.377 -0.656
Br 11.170 3.466 -1.744
Br 10.621 0.656 1.196
Br 9.988 -2.926 4.778
Br 5.318 4.778 -1.744
Br 7.048 2.377 0.656
Br -0.656 1.196 2.377
Br 4.778 -1.744 5.318
Br 7.587 7.048 -2.377
Br 4.778 1.744 2.926
Br 7.048 -2.377 7.587
Br 5.318 -4.778 9.988
Br 2.377 7.587 -1.196
Br 9.988 2.926 3.466
Br 2.926 4.778 1.744
Br 9.439 5.866 0.656
Br 4.778 9.988 -2.926
Br 7.587 1.196 5.866
Br 1.744 2.926 4.778
Br 2.377 0.656 7.048
Br 5.866 7.587 1.196
Br 6.499 5.318 3.466
Br 0.656 7.048 2.377
Br 3.466 -1.744 11.170
Br -1.196 2.377 7.587
Br 5.318 3.466 6.499
Br -1.744 5.318 4.778
Br 5.866 0.656 9.439
Br 2.926 13.022 -1.744
Br 1.196 10.621 0.656
Br 3.466 6.499 5.318
Br 0.656 1.196 10.621
Br 3.466 9.988 2.926
Br 8.900 7.048 5.866
Br 1.196 5.866 7.587
Br 2.926 3.466 9.988
Br -1.744 11.170 3.466
Br -2.377 7.587 7.048
Br -2.926 4.778 9.988
Br 7.048 5.866 8.900
Br -4.778 9.988 5.318
Br 0.656 9.439 5.866
Br -1.744 2.926 13.022
Br 5.866 8.900 7.048



# 2
3
Lattice="3.891 0.000 0.000 -1.945 3.369 0.000 0.000 0.000 6.607" Properties=species:S:1:pos:R:3 comment="NaLiBr PBE relaxed" space_group="P3m1, No. 156" de_polymorph_ev_per_fu=0.12 pbc="T T T"
Na 0.000 0.000 0.000
Li 0.000 2.246 3.526
Br 1.945 1.123 2.238



# 3
8
Lattice="4.189 -5.912 0.000 4.189 5.912 0.000 0.000 0.000 4.167" Properties=species:S:1:pos:R:3 comment="Na3LiBr4 PBE relaxed" space_group="Cm, No. 8" de_polymorph_ev_per_fu=0.00 pbc="T T T"
Na 0.000 0.000 0.000
Na 6.283 -2.956 2.083
Na 6.283 2.956 2.083
Li 4.191 0.000 4.165
Br 4.188 2.871 4.165
Br 2.207 0.000 2.084
Br 6.171 0.000 2.083
Br 4.188 -2.871 4.165



# 4
10
Lattice="2.093 1.209 17.172 -2.093 1.209 17.172 0.000 -2.417 17.172" Properties=species:S:1:pos:R:3 comment="Na4LiBr5 PBE relaxed" space_group="R-3m, No. 166" e_tot_ev_per_atom=-3.101 pbc="T T T"
Na 0.000 0.000 5.291
Na 0.000 0.000 15.409
Na 0.000 0.000 36.107
Na 0.000 0.000 46.225
Li 0.000 0.000 25.758
Br 0.000 0.000 0.000
Br 0.000 0.000 10.101
Br 0.000 0.000 20.702
Br 0.000 0.000 30.814
Br 0.000 0.000 41.415



Number 1: M_tot 16.63 Bohr magnetons per cell. Number 2: M_tot 0.00 Bohr magnetons per cell. Number 3: M_tot 0.00 Bohr magnetons per cell. Number 4: M_tot 0.00 Bohr magnetons per cell.